# Ag2Mo2O7

A geometry-optimized Ag2Mo2O7 structure (PBE with a Hubbard U, Alexandria).

Cell: 5.4943 6.0640 6.0640 Å, 100.90 99.83 99.83°
Last column: nearest neighbours and their distance in Å.
Fractional positions:
Ag 0.5000 0.3078 0.6922  4 O 2.36-2.43
Ag 0.5000 0.6922 0.3078  4 O 2.36-2.43
Mo 0.0872 0.7779 0.7779  4 O 1.77-1.90
Mo 0.9128 0.2221 0.2221  4 O 1.77-1.90
O 0.2702 0.6153 0.9251  1 Mo 1.77
O 0.7298 0.0749 0.3847  1 Mo 1.77
O 0.7298 0.3847 0.0749  1 Mo 1.77
O 0.2702 0.9251 0.6153  1 Mo 1.77
O 0.1983 0.4000 0.4000  1 Mo 1.79
O 0.0000 0.0000 0.0000  2 Mo 1.90
O 0.8017 0.6000 0.6000  1 Mo 1.79

Output
Space-group type = C2/m, No. 12



# Ag3Mo2O8

A geometry-optimized Ag3Mo2O8 structure (PBE with a Hubbard U, Alexandria).

Cell: 7.4384 7.5132 8.6771 Å, 90.00 90.00 119.67°
Last column: nearest neighbours and their distance in Å.
Fractional positions:
Ag 0.6197 0.7393 0.2500  4 O 2.18-2.42
Ag 0.5000 0.0000 0.5000  2 O 2.20
Ag 0.8803 0.2607 0.7500  4 O 2.18-2.42
Ag 0.1197 0.7393 0.2500  4 O 2.18-2.42
Ag 0.0000 0.0000 0.0000  2 O 2.20
Ag 0.3803 0.2607 0.7500  4 O 2.18-2.42
Mo 0.6329 0.2657 0.1127  4 O 1.80-1.82
Mo 0.8671 0.7343 0.6127  4 O 1.80-1.82
Mo 0.1329 0.2657 0.3873  4 O 1.80-1.82
Mo 0.3671 0.7343 0.8873  4 O 1.80-1.82
O 0.5774 0.7548 0.0033  1 Mo 1.80
O 0.6774 0.7548 0.4967  1 Mo 1.80
O 0.9728 0.9455 0.7493  1 Mo 1.82
O 0.7458 0.4917 0.7118  1 Mo 1.80
O 0.5272 0.0545 0.2493  1 Mo 1.82
O 0.7542 0.5083 0.2118  1 Mo 1.80
O 0.0774 0.7548 0.4967  1 Mo 1.80
O 0.8226 0.2452 0.9967  1 Mo 1.80
O 0.1774 0.7548 0.0033  1 Mo 1.80
O 0.9226 0.2452 0.5033  1 Mo 1.80
O 0.0272 0.0545 0.2507  1 Mo 1.82
O 0.4728 0.9455 0.7507  1 Mo 1.82
O 0.2542 0.5083 0.2882  1 Mo 1.80
O 0.2458 0.4917 0.7882  1 Mo 1.80
O 0.3226 0.2452 0.5033  1 Mo 1.80
O 0.4226 0.2452 0.9967  1 Mo 1.80

Output
Space-group type = Cmce, No. 64



# Ag2MoO

A geometry-optimized Ag2MoO structure (PBE with a Hubbard U, Alexandria).

Cell: 8.7684 8.7684 6.5209 Å, 47.75 47.75 90.00°
Last column: nearest neighbours and their distance in Å.
Fractional positions:
Mo 0.0000 0.0000 0.0000  2 O 2.02
Mo 0.7500 0.2500 0.5000  2 O 2.02
O 0.5000 0.5000 0.0000  2 Mo 2.02
O 0.2500 0.7500 0.5000  2 Mo 2.02
Ag 0.5234 0.1250 0.2500  2 O 2.60, 2 Ag 2.69
Ag 0.2266 0.6250 0.2500  2 O 2.60, 2 Ag 2.69
Ag 0.3750 0.4766 0.7500  2 O 2.60, 2 Ag 2.69
Ag 0.8750 0.7734 0.7500  2 O 2.60, 2 Ag 2.69

Output
Space-group type = I-42d, No. 122



# AgMo3O9

A geometry-optimized AgMo3O9 structure (PBE with a Hubbard U, Alexandria).

Cell: 7.7673 8.9613 9.9097 Å, 73.88 66.93 64.32°
Last column: nearest neighbours and their distance in Å.
Fractional positions:
Ag 0.0085 0.4954 0.0006  6 O 2.36-2.50
Ag 0.4956 0.9954 0.5006  6 O 2.36-2.50
Mo 0.7899 0.5565 0.6819  2 O 1.76
Mo 0.9716 0.0565 0.1819  2 O 1.76
Mo 0.9984 0.9435 0.8276  4 O 1.74-1.92
Mo 0.2306 0.4435 0.3276  4 O 1.74-1.92
Mo 0.5586 0.2564 0.7264  4 O 1.74-1.91
Mo 0.4587 0.7564 0.2264  4 O 1.74-1.91
O 0.3543 0.2281 0.3285  1 Mo 1.74
O 0.0891 0.7281 0.8285  1 Mo 1.74
O 0.3565 0.3204 0.8839  1 Mo 1.74
O 0.4392 0.8204 0.3839  1 Mo 1.74
O 0.1720 0.0207 0.6889  1 Mo 1.74
O 0.1184 0.5207 0.1889  1 Mo 1.74
O 0.6960 0.7352 0.0994  1 Mo 1.74
O 0.4693 0.2352 0.5994  1 Mo 1.74
O 0.8298 0.9725 0.3474  1 Mo 1.76
O 0.8503 0.4725 0.8474  1 Mo 1.76
O 0.6410 0.7699 0.6631  1 Mo 1.76
O 0.9260 0.2699 0.1631  1 Mo 1.76
O 0.4186 0.5496 0.2813  2 Mo 1.91-1.92
O 0.7506 0.0496 0.7813  2 Mo 1.91-1.92
O 0.6782 0.4133 0.6431  2 Mo 1.85-2.01
O 0.2653 0.9133 0.1431  2 Mo 1.85-2.01
O 0.9634 0.9959 0.0059  2 Mo 1.84-2.00
O 0.0348 0.4959 0.5059  2 Mo 1.84-2.00

Output
Space-group type = Cc, No. 9



| no. | electronic total energy (eV/atom) |
| --- | --- |
| 1 | -6.12 |
| 2 | -5.77 |
| 3 | -4.25 |
| 4 | -6.60 |